# 1
# Li8SeN2 GGA-PBE relaxed
# * uncorrected formation energy: -638.6 kJ/mol of formula units
# * space-group type: C2/m, No. 12
data_Li8SeN2
_chemical_formula_sum 'Li8 Se1 N2'
_cell_length_a 3.928
_cell_length_b 5.984
_cell_length_c 5.984
_cell_angle_alpha 114.10
_cell_angle_beta 94.35
_cell_angle_gamma 94.35
_symmetry_space_group_name_H-M 'P 1'
_symmetry_Int_Tables_number 1
_symmetry_space_group_name_Hall 'P 1'
loop_
_atom_site_label
_atom_site_type_symbol
_atom_site_fract_x
_atom_site_fract_y
_atom_site_fract_z
_atom_site_occupancy
Li1 Li 0.952 0.961 0.662 1
Li2 Li 0.952 0.662 0.961 1
Li3 Li 0.245 0.602 0.602 1
Li4 Li 0.500 0.729 0.271 1
Li5 Li 0.500 0.271 0.729 1
Li6 Li 0.755 0.398 0.398 1
Li7 Li 0.048 0.338 0.039 1
Li8 Li 0.048 0.039 0.338 1
Se1 Se 0.500 0.000 0.000 1
N1 N 0.000 0.325 0.675 1
N2 N 0.000 0.675 0.325 1

# 2
# YFeSb GGA-PBE relaxed
# * uncorrected formation energy: -47.5 kJ/mol of formula units
# * space-group type: I4mm, No. 107
data_YFeSb
_chemical_formula_sum 'Y1 Fe1 Sb1'
_cell_length_a 5.814
_cell_length_b 5.814
_cell_length_c 3.487
_cell_angle_alpha 72.55
_cell_angle_beta 72.55
_cell_angle_gamma 34.90
_symmetry_space_group_name_H-M 'P 1'
_symmetry_Int_Tables_number 1
_symmetry_space_group_name_Hall 'P 1'
loop_
_atom_site_label
_atom_site_type_symbol
_atom_site_fract_x
_atom_site_fract_y
_atom_site_fract_z
_atom_site_occupancy
Fe1 Fe 0.979 0.979 0.021 1
Sb1 Sb 0.364 0.364 0.636 1
Y1 Y 0.657 0.657 0.343 1

# 3
# TbMgCdIn GGA-PBE relaxed
# * ΔH_f (0 K): -0.323 eV per atom
# * space-group type: F-43m, No. 216
data_TbMgCdIn
_chemical_formula_sum 'Tb1 Mg1 Cd1 In1'
_cell_length_a 5.154
_cell_length_b 5.154
_cell_length_c 5.154
_cell_angle_alpha 60.00
_cell_angle_beta 60.00
_cell_angle_gamma 60.00
_symmetry_space_group_name_H-M 'P 1'
_symmetry_Int_Tables_number 1
_symmetry_space_group_name_Hall 'P 1'
loop_
_atom_site_label
_atom_site_type_symbol
_atom_site_fract_x
_atom_site_fract_y
_atom_site_fract_z
_atom_site_occupancy
Mg1 Mg 0.000 0.000 0.000 1
Cd1 Cd 0.750 0.750 0.750 1
Tb1 Tb 0.500 0.500 0.500 1
In1 In 0.250 0.250 0.250 1

# 4
# La2SnGe3 GGA-PBE relaxed
# * ΔH_f (0 K): -0.646 eV per atom
# * space-group type: Pnma, No. 62
data_La2SnGe3
_chemical_formula_sum 'La8 Sn4 Ge12'
_cell_length_a 4.433
_cell_length_b 7.321
_cell_length_c 19.335
_cell_angle_alpha 90.00
_cell_angle_beta 90.00
_cell_angle_gamma 90.00
_symmetry_space_group_name_H-M 'P 1'
_symmetry_Int_Tables_number 1
_symmetry_space_group_name_Hall 'P 1'
loop_
_atom_site_label
_atom_site_type_symbol
_atom_site_fract_x
_atom_site_fract_y
_atom_site_fract_z
_atom_site_occupancy
La1 La 0.250 0.135 0.091 1
La2 La 0.750 0.365 0.591 1
La3 La 0.250 0.635 0.409 1
La4 La 0.750 0.865 0.909 1
La5 La 0.250 0.130 0.299 1
La6 La 0.750 0.370 0.799 1
La7 La 0.250 0.630 0.201 1
La8 La 0.750 0.870 0.701 1
Sn1 Sn 0.250 0.434 0.930 1
Sn2 Sn 0.750 0.066 0.430 1
Sn3 Sn 0.250 0.934 0.570 1
Sn4 Sn 0.750 0.566 0.070 1
Ge1 Ge 0.250 0.253 0.480 1
Ge2 Ge 0.750 0.247 0.980 1
Ge3 Ge 0.250 0.753 0.020 1
Ge4 Ge 0.750 0.747 0.520 1
Ge5 Ge 0.250 0.560 0.687 1
Ge6 Ge 0.750 0.940 0.187 1
Ge7 Ge 0.250 0.060 0.813 1
Ge8 Ge 0.750 0.440 0.313 1
Ge9 Ge 0.250 0.204 0.692 1
Ge10 Ge 0.750 0.296 0.192 1
Ge11 Ge 0.250 0.704 0.808 1
Ge12 Ge 0.750 0.796 0.308 1

# 5
# SnGe2N GGA-PBE relaxed
# * uncorrected formation energy: 164.4 kJ/mol of formula units
# * energy above the most stable polymorph in this dataset: 0 meV per atom
# * space-group type: I-42d, No. 122
data_SnGe2N
_chemical_formula_sum 'Sn2 Ge4 N2'
_cell_length_a 6.106
_cell_length_b 6.106
_cell_length_c 5.980
_cell_angle_alpha 59.30
_cell_angle_beta 59.30
_cell_angle_gamma 90.00
_symmetry_space_group_name_H-M 'P 1'
_symmetry_Int_Tables_number 1
_symmetry_space_group_name_Hall 'P 1'
loop_
_atom_site_label
_atom_site_type_symbol
_atom_site_fract_x
_atom_site_fract_y
_atom_site_fract_z
_atom_site_occupancy
Ge1 Ge 0.528 0.125 0.250 1
Ge2 Ge 0.222 0.625 0.250 1
Ge3 Ge 0.375 0.472 0.750 1
Ge4 Ge 0.875 0.778 0.750 1
Sn1 Sn 0.000 0.000 0.000 1
Sn2 Sn 0.750 0.250 0.500 1
N1 N 0.500 0.500 0.000 1
N2 N 0.250 0.750 0.500 1

# 6
# La2AlCdFe GGA-PBE relaxed
# * ΔH_f (0 K): -0.189 eV per atom
# * space-group type: P4/mmm, No. 123
data_La2AlCdFe
_chemical_formula_sum 'La2 Al1 Cd1 Fe1'
_cell_length_a 5.215
_cell_length_b 5.215
_cell_length_c 4.787
_cell_angle_alpha 90.00
_cell_angle_beta 90.00
_cell_angle_gamma 90.00
_symmetry_space_group_name_H-M 'P 1'
_symmetry_Int_Tables_number 1
_symmetry_space_group_name_Hall 'P 1'
loop_
_atom_site_label
_atom_site_type_symbol
_atom_site_fract_x
_atom_site_fract_y
_atom_site_fract_z
_atom_site_occupancy
Al1 Al 0.000 0.000 0.500 1
Cd1 Cd 0.500 0.500 0.500 1
Fe1 Fe 0.000 0.000 0.000 1
La1 La 0.000 0.500 0.000 1
La2 La 0.500 0.000 0.000 1

Number 1: spin magnetization 0.00 μB per atom, uncorrected energy -42.065 eV/cell. Number 2: spin magnetization 0.70 μB per atom, uncorrected energy -19.542 eV/cell. Number 3: spin magnetization 0.00 μB per atom, uncorrected energy -11.172 eV/cell. Number 4: spin magnetization 0.00 μB per atom, uncorrected energy -126.341 eV/cell. Number 5: spin magnetization 0.00 μB per atom, uncorrected energy -39.718 eV/cell. Number 6: spin magnetization 0.00 μB per atom, uncorrected energy -23.921 eV/cell.